Record 1
# LaYAu2

A relaxed structure of LaYAu2 (GGA-PBE, Alexandria).

Output
formation energy from the elements: 269 meV/atom
calculated volume: 28.3 A^3/atom
calculated density: 9.116 Mg/m³
symmetry: Immm, No. 71

a b c (Å): 6.6609 6.6609 6.6609
angles (deg): 149.99 129.42 59.94
With the nearest neighbours (Å) after each atom.
Element x y z (fractional)
La (0.0000, 0.0000, 0.0000)  2 Au 2.96
Y (0.5000, 0.5000, 0.0000)  2 Au 2.81
Au (0.2564, 0.2564, 0.0000)  1 Y 2.81, 1 La 2.96
Au (0.7436, 0.7436, 0.0000)  1 Y 2.81, 1 La 2.96

=====

Record 2
# LaY2Au2

A relaxed structure of LaY2Au2 (GGA-PBE, Alexandria).

Output
formation energy from the elements: -667 meV/atom
calculated volume: 26.7 A^3/atom
energy above the lowest structure with this stoichiometry: 0 meV/atom
calculated density: 8.848 Mg/m³
symmetry: P4/mbm, No. 127

a b c (Å): 8.3093 8.3093 3.8631
angles (deg): 90.00 90.00 90.00
With the nearest neighbours (Å) after each atom.
Element x y z (fractional)
La (0.0000, 0.0000, 0.0000)  4 Au 3.26
La (0.5000, 0.5000, 0.0000)  4 Au 3.26
Y (0.1609, 0.3391, 0.5000)  6 Au 3.10-3.13
Y (0.3391, 0.8391, 0.5000)  6 Au 3.10-3.13
Y (0.6609, 0.1609, 0.5000)  6 Au 3.10-3.13
Y (0.8391, 0.6609, 0.5000)  6 Au 3.10-3.13
Au (0.1297, 0.6297, 0.0000)  1 Au 3.05, 6 Y 3.10-3.13, 2 La 3.26
Au (0.3703, 0.1297, 0.0000)  1 Au 3.05, 6 Y 3.10-3.13, 2 La 3.26
Au (0.6297, 0.8703, 0.0000)  1 Au 3.05, 6 Y 3.10-3.13, 2 La 3.26
Au (0.8703, 0.3703, 0.0000)  1 Au 3.05, 6 Y 3.10-3.13, 2 La 3.26

=====

Record 3
# La2YAu

A relaxed structure of La2YAu (GGA-PBE, Alexandria).

Output
formation energy from the elements: -373 meV/atom
calculated volume: 30.9 A^3/atom
energy above the lowest structure with this stoichiometry: 19 meV/atom
calculated density: 7.584 Mg/m³
symmetry: Cm, No. 8

a b c (Å): 6.6982 6.6982 5.6077
angles (deg): 114.58 114.58 32.99
With the nearest neighbours (Å) after each atom.
Element x y z (fractional)
La (0.0000, 0.0000, 0.0000)  4 Au 3.35-3.43, 2 La 3.68-3.74, 2 Y 3.69-3.73
La (0.2095, 0.2095, 0.7152)  2 Au 3.20, 4 Y 3.51
Y (0.7899, 0.7899, 0.2953)  2 Au 2.97
Au (0.4868, 0.4868, 0.4782)  2 Y 2.97, 2 La 3.20

=====

Record 4
# La2Y3Au4

A relaxed structure of La2Y3Au4 (GGA-PBE, Alexandria).

Output
formation energy from the elements: -754 meV/atom
calculated volume: 26.8 A^3/atom
calculated density: 9.189 Mg/m³
symmetry: P2_1/c, No. 14

a b c (Å): 7.6160 8.3821 8.0935
angles (deg): 90.00 111.25 90.00
With the nearest neighbours (Å) after each atom.
Element x y z (fractional)
La (0.1960, 0.1734, 0.0677)  6 Au 3.14-3.46
La (0.1960, 0.3266, 0.5677)  6 Au 3.14-3.46
La (0.8040, 0.6734, 0.4323)  6 Au 3.14-3.46
La (0.8040, 0.8266, 0.9323)  6 Au 3.14-3.46
Y (0.2499, 0.6622, 0.2496)  6 Au 2.96-3.10
Y (0.2499, 0.8378, 0.7496)  6 Au 2.96-3.10
Y (0.5000, 0.0000, 0.5000)  6 Au 3.01-3.26
Y (0.5000, 0.5000, 0.0000)  6 Au 3.01-3.26
Y (0.7501, 0.1622, 0.2504)  6 Au 2.96-3.10
Y (0.7501, 0.3378, 0.7504)  6 Au 2.96-3.10
Au (0.0804, 0.5536, 0.8566)  4 Y 2.96-3.10, 1 Au 3.12, 1 La 3.31
Au (0.0804, 0.9464, 0.3566)  4 Y 2.96-3.10, 1 Au 3.12, 1 La 3.31
Au (0.4986, 0.1323, 0.8690)  5 Y 2.98-3.26, 1 Au 3.06, 2 La 3.14-3.27
Au (0.4986, 0.3677, 0.3690)  5 Y 2.98-3.26, 1 Au 3.06, 2 La 3.14-3.27
Au (0.5014, 0.6323, 0.6310)  5 Y 2.98-3.26, 1 Au 3.06, 2 La 3.14-3.27
Au (0.5014, 0.8677, 0.1310)  5 Y 2.98-3.26, 1 Au 3.06, 2 La 3.14-3.27
Au (0.9196, 0.0536, 0.6434)  4 Y 2.96-3.10, 1 Au 3.12, 1 La 3.31
Au (0.9196, 0.4464, 0.1434)  4 Y 2.96-3.10, 1 Au 3.12, 1 La 3.31

=====

Record 5
# LaY2Au2

A relaxed structure of LaY2Au2 (GGA-PBE, Alexandria).

Output
formation energy from the elements: -379 meV/atom
calculated volume: 30.5 A^3/atom
energy above the lowest structure with this stoichiometry: 288 meV/atom
calculated density: 7.743 Mg/m³
symmetry: I4/mmm, No. 139

a b c (Å): 6.5138 6.5138 6.5138
angles (deg): 131.36 131.36 71.24
With the nearest neighbours (Å) after each atom.
Element x y z (fractional)
La (0.0000, 0.0000, 0.0000)  2 Y 3.63, 8 Au 3.77
Y (0.3427, 0.3427, 0.0000)  4 Au 2.86
Y (0.6573, 0.6573, 0.0000)  4 Au 2.86
Au (0.2500, 0.7500, 0.5000)  4 Y 2.86
Au (0.7500, 0.2500, 0.5000)  4 Y 2.86

=====

Record 6
# LaY2Au

A relaxed structure of LaY2Au (GGA-PBE, Alexandria).

Output
formation energy from the elements: -273 meV/atom
calculated volume: 29.5 A^3/atom
energy above the lowest structure with this stoichiometry: 161 meV/atom
calculated density: 7.225 Mg/m³
symmetry: P2/m, No. 10

a b c (Å): 3.8059 4.9249 6.5426
angles (deg): 90.00 105.70 90.00
With the nearest neighbours (Å) after each atom.
Element x y z (fractional)
La (0.0000, 0.0000, 0.0000)  2 Au 3.27, 8 Y 3.55-3.60
Y (0.3827, 0.5000, 0.7217)  2 Au 3.02, 1 Y 3.26
Y (0.6173, 0.5000, 0.2783)  2 Au 3.02, 1 Y 3.26
Au (0.0000, 0.0000, 0.5000)  4 Y 3.02, 2 La 3.27